1) First-principles (GGA-PBE) data for crystalline MgMo2Cl at its relaxed geometry, as listed in Alexandria via LeMat-Bulk.

Summary:
V (Å³ per cell): 73.54
Size of the total moment (μB per formula unit): 0.000
Space group: Cmm2
Density (g/cm³): 5.7

Lattice parameters (Å, degrees): 3.016 3.016 8.880 90.00 90.00 114.46
Element x y z (fractional)
Cl1 0.000 0.000 0.538
Mg1 0.500 0.500 0.739
Mo1 0.000 0.000 0.007
Mo2 0.500 0.500 0.216

2) First-principles (GGA-PBE) data for crystalline MgMo2Cl at its relaxed geometry, as listed in Alexandria via LeMat-Bulk.

Summary:
V (Å³ per cell): 81.91
Size of the total moment (μB per formula unit): 0.000
Space group: I4/mmm
Density (g/cm³): 5.1

Lattice parameters (Å, degrees): 6.937 6.937 6.937 150.27 150.27 42.55
Element x y z (fractional)
Cl1 0.250 0.750 0.500
Mg1 0.750 0.250 0.500
Mo1 0.000 0.000 0.000
Mo2 0.500 0.500 0.000

On energetic grounds, 1) is preferred over the next structure by 573 meV/atom.